No. 1
The following is a PBE calculation of an optimized crystal structure of Sc6AsP2Se3, from the Alexandria database.

The calculated volume comes out at 480 Å³ per cell. The calculation puts the formation energy (no corrections) at -1.604 eV per atom. The calculation puts the final energy at -6.930 eV per atom.

The space group is C2/m (No. 12) and the conventional cell measures 16.8108, 3.8180 and 7.7145 Å, with angles of 90.00, 104.13 and 90.00 degrees. The distinct sites, in fractional coordinates, are Sc at (0.0073, 0.0000, 0.2470), Sc at (0.1659, 0.5000, 0.1025), Sc at (0.1732, 0.5000, 0.5707), As at (0.0000, 0.5000, 0.0000), P at (0.1670, 0.0000, 0.3346), Se at (0.0000, 0.5000, 0.5000) and Se at (0.1652, 0.0000, 0.8336).

No. 2
The following is a PBE calculation of an optimized crystal structure of Tb2Pr2YHo2, from the Alexandria database.

The calculated volume comes out at 920 Å³ per cell. The calculation puts the final energy at -4.911 eV per atom. For the formation enthalpy at 0 K, the calculation gives 0.009 eV per atom.

The space group is Fmmm (No. 69) and the conventional cell measures 5.1028, 5.1302 and 35.1341 Å, with angles of 90.00, 90.00 and 90.00 degrees. The distinct sites, in fractional coordinates, are Tb at (0.0000, 0.0000, 0.2147), Pr at (0.0000, 0.0000, 0.0729), Y at (0.0000, 0.0000, 0.5000) and Ho at (0.0000, 0.0000, 0.3548).

No. 3
The following is a PBE calculation of an optimized crystal structure of RbCa2, from the Alexandria database.

The calculated volume comes out at 318 Å³ per cell. The calculation puts the final energy at -1.498 eV per atom. For the formation enthalpy at 0 K, the calculation gives 0.159 eV per atom.

The space group is I4/mmm (No. 139) and the conventional cell measures 4.0255, 4.0255 and 19.6209 Å, with angles of 90.00, 90.00 and 90.00 degrees. The distinct sites, in fractional coordinates, are Rb at (0.0000, 0.0000, 0.0000) and Ca at (0.0000, 0.0000, 0.3176).

No. 4
The following is a PBE calculation of an optimized crystal structure of K3Ho3NbO8, from the Alexandria database.

The calculated volume comes out at 754 Å³ per cell. The calculation puts the formation energy (no corrections) at -2.717 eV per atom. The calculation puts the final energy at -7.168 eV per atom.

The space group is R-3m (No. 166, hexagonal axes) and the conventional cell measures 6.8005, 6.8005 and 18.8164 Å, with angles of 90.00, 90.00 and 120.00 degrees. The distinct sites, in fractional coordinates, are K at (0.0000, 0.5000, 0.0000), Ho at (0.0000, 0.5000, 0.5000), Nb at (0.0000, 0.0000, 0.5000), O at (0.0000, 0.0000, 0.2280) and O at (0.0209, 0.5105, 0.2234).